Entry from the Alexandria database: a relaxed NiTeOF2 crystal (PBE with a Hubbard U).

abc: 3.8565 3.8565 4.5306
angles: 90.00 90.00 90.00
Last column: nearest neighbours and their distance in Å.
Space group P4/mmm (No. 123)
Inequivalent atoms, fractional coordinates:
Ni (0.0000, 0.0000, 0.0000) (multiplicity 1)  4 F 1.93
Te (0.5000, 0.5000, 0.5000) (multiplicity 1)  4 O 2.73, 8 F 2.97
O (0.0000, 0.0000, 0.5000) (multiplicity 1)  2 Ni 2.27
F (0.0000, 0.5000, 0.0000) (multiplicity 2)  2 Ni 1.93

Computed properties:
energy	-3.85	eV/atom
N(E_F)	0.366	states/eV/atom
total magnetization	2.85	Bohr magnetons per cell